[1]
YSc2Se: relaxed, PBEsol.

POSCAR file:
```
YSc2Se
1.0
3.507 0.000 0.000
0.000 3.507 0.000
0.000 0.000 7.332
Y Se Sc
1 1 2
Direct
0.500 0.500 0.726 Y
0.000 0.000 0.456 Se
0.500 0.500 0.285 Sc
0.000 0.000 0.032 Sc
```

Results
Calculated total energy ... -6.684 eV per atom
Density of states at the Fermi level ... 4.67 states/eV per cell
Space group ... P4mm (99)
Total magnetization ... 0.000 μB per atom


[2]
Co2CuTe: relaxed, PBEsol.

POSCAR file:
```
Co2CuTe
1.0
-0.841 3.561 0.008
-0.532 -0.134 3.617
4.411 -0.835 -1.233
Co Te Cu
2 1 1
Direct
0.250 0.750 0.500 Co
0.000 0.000 0.000 Co
0.750 0.250 0.500 Te
0.500 0.500 0.000 Cu
```

Results
Calculated total energy ... -5.568 eV per atom
Density of states at the Fermi level ... 4.73 states/eV per cell
Space group ... I-4m2 (119)
Total magnetization ... 0.471 μB per atom


[3]
MnCoSi2: relaxed, PBEsol.

POSCAR file:
```
MnCoSi2
1.0
4.381 0.000 0.000
0.000 4.445 0.003
0.000 -0.044 4.450
Si Co Mn
4 2 2
Direct
0.658 0.413 0.156 Si
0.158 0.587 0.844 Si
0.842 0.088 0.647 Si
0.342 0.912 0.353 Si
0.138 0.392 0.362 Co
0.638 0.608 0.638 Co
0.862 0.895 0.129 Mn
0.362 0.105 0.871 Mn
```

Results
Density of states at the Fermi level ... 4.14 states/eV per cell
Space group ... P2_1 (4)
Relative energy among the computed polymorphs ... 0.0000 eV per atom
Total magnetization ... 0.000 μB per atom


[4]
ZnFeIr: relaxed, PBEsol.

POSCAR file:
```
ZnFeIr
1.0
2.671 0.000 0.000
-1.336 2.313 0.000
0.000 0.000 6.284
Fe Ir Zn
1 1 1
Direct
0.000 0.000 0.998 Fe
0.333 0.667 0.676 Ir
0.667 0.333 0.325 Zn
```

Results
Energy of formation from the pure elements ... -0.037 eV/atom
Density of states at the Fermi level ... 2.16 states/eV per cell
Space group ... P3m1 (156)
Relative energy among the computed polymorphs ... 0.0168 eV per atom
Total magnetization ... 0.822 μB per atom